First-principles (PBE+U) data for SrVCrO4 after structural relaxation, as listed in Alexandria via LeMat-Bulk. Values from VASP.

Quantum ESPRESSO input file:
```
&SYSTEM
  ibrav = 0, nat = 14, ntyp = 4
/
ATOMIC_SPECIES
Sr 87.62 Sr.upf
V 50.94 V.upf
Cr 52.00 Cr.upf
O 16.00 O.upf
CELL_PARAMETERS angstrom
5.647 0.000 0.159
0.000 5.599 0.000
-2.006 0.000 6.408
ATOMIC_POSITIONS angstrom
Sr 2.220 4.200 6.294
Sr 1.421 1.400 0.274
V 1.041 4.200 2.211
V 2.600 1.400 4.357
Cr 4.036 4.200 3.364
Cr -0.395 1.400 3.203
O 4.167 2.647 4.574
O -0.526 5.447 1.993
O -0.526 2.952 1.993
O 4.167 0.153 4.574
O 1.955 4.200 0.623
O 1.686 1.400 5.944
O 2.121 4.200 3.789
O 1.520 1.400 2.779
```

Values from the calculation:
SG: P2_1/m
Total DFT energy (no corrections): -7.225 eV per atom